A plane-wave DFT calculation with GGA-PBE was carried out for a geometry-optimized Dy3Zr2Ag2 structure.

a b c (Å): 11.3331 11.3331 3.2848
angles (deg): 90.00 90.00 155.51
With the nearest neighbours (Å) after each atom.
Positions (direct):
Dy (0.0000, 0.0000, 0.0000)  4 Dy 3.25-3.28, 8 Ag 3.34
Dy (0.1467, 0.8533, 0.0000)  3 Dy 3.25-3.28, 4 Ag 3.33, 6 Zr 3.34-3.36
Dy (0.8533, 0.1467, 0.0000)  3 Dy 3.25-3.28, 4 Ag 3.33, 6 Zr 3.34-3.36
Zr (0.2780, 0.7220, 0.5000)  2 Zr 2.70
Zr (0.7220, 0.2780, 0.5000)  2 Zr 2.70
Ag (0.4262, 0.5738, 0.5000)  3 Ag 3.27-3.28, 1 Zr 3.28, 8 Dy 3.33-3.34
Ag (0.5738, 0.4262, 0.5000)  3 Ag 3.27-3.28, 1 Zr 3.28, 8 Dy 3.33-3.34

energy of formation: 0.0237 eV/atom
uncorrected energy: -5.206 eV/atom
magnetic moment: 0.00 μB/atom